The following is a PBE calculation of a relaxed PmPr3Au4 crystal, from the Alexandria database.

a b c (Å): 5.2855 5.2855 25.8053
angles (deg): 90.00 90.00 120.00
Space group R-3m (No. 166, hexagonal axes)
Unique sites:
Pm1 0.0000 0.0000 0.0000 x3
Pr1 0.0000 0.0000 0.2502 x6
Pr2 0.0000 0.0000 0.5000 x3
Au1 0.0000 0.0000 0.1233 x6
Au2 0.0000 0.0000 0.3736 x6

Output
VASP energy (eV/atom): -4.776
Total magnetic moment (μB per formula unit): 0.0